K2Na3InI6: relaxed, PBE.

Summary:
* space group: No. 12
* raw formation energy: -14.28 eV per formula unit

abc: 4.803 9.704 10.834
angles: 103.87 102.81 90.00
Fractional coordinates of all 12 atoms:
K 0.834 0.671 0.668
K 0.166 0.329 0.332
Na 0.500 0.500 0.000
Na 0.834 0.169 0.668
Na 0.166 0.831 0.332
In 0.500 0.000 0.000
I 0.329 0.933 0.657
I 0.661 0.595 0.322
I 0.671 0.067 0.343
I 0.994 0.262 0.988
I 0.006 0.738 0.012
I 0.339 0.405 0.678

=====

SiSe: relaxed, PBE.

Summary:
* space group: No. 186
* raw formation energy: 0.43 eV per formula unit

abc: 4.686 4.686 5.615
angles: 90.00 90.00 120.00
Fractional coordinates of all 4 atoms:
Si 0.333 0.667 0.319
Si 0.667 0.333 0.819
Se 0.333 0.667 0.763
Se 0.667 0.333 0.263

=====

Zn3IrCl: relaxed, PBE.

Summary:
* space group: No. 221
* raw formation energy: 5.24 eV per formula unit
* energy above the most stable polymorph in this dataset: 0.891 eV/atom

abc: 4.553 4.553 4.553
angles: 90.00 90.00 90.00
Fractional coordinates of all 5 atoms:
Zn 0.000 0.500 0.000
Zn 0.000 0.000 0.500
Zn 0.500 0.000 0.000
Ir 0.500 0.500 0.500
Cl 0.000 0.000 0.000

=====

BaNa: relaxed, PBE.

Summary:
* space group: No. 194
* ΔH_f (0 K): 0.79 eV per formula unit
* energy above the most stable polymorph in this dataset: 0.416 eV/atom

abc: 6.549 6.549 7.728
angles: 90.00 90.00 120.00
Fractional coordinates of all 4 atoms:
Ba 0.333 0.667 0.750
Ba 0.667 0.333 0.250
Na 0.333 0.667 0.250
Na 0.667 0.333 0.750

=====

Si4Hg3: relaxed, PBE.

Summary:
* space group: No. 139
* raw formation energy: 1.97 eV per formula unit
* energy above the most stable polymorph in this dataset: 0.000 eV/atom

abc: 13.825 13.825 13.825
angles: 165.90 165.90 19.99
Fractional coordinates of all 7 atoms:
Si 0.906 0.906 0.000
Si 0.094 0.094 0.000
Si 0.616 0.616 0.000
Si 0.384 0.384 0.000
Hg 0.000 0.000 0.000
Hg 0.712 0.712 0.000
Hg 0.288 0.288 0.000

=====

Pm6Ir2SBr3: relaxed, PBE.

Summary:
* space group: No. 12
* raw formation energy: -15.18 eV per formula unit

abc: 7.246 7.246 7.944
angles: 98.70 98.70 119.96
Fractional coordinates of all 12 atoms:
Pm 0.934 0.586 0.803
Pm 0.717 0.717 0.196
Pm 0.066 0.414 0.197
Pm 0.586 0.934 0.803
Pm 0.283 0.283 0.804
Pm 0.414 0.066 0.197
Ir 0.333 0.667 0.000
Ir 0.667 0.333 0.000
S 0.000 0.000 0.000
Br 0.162 0.838 0.500
Br 0.838 0.162 0.500
Br 0.500 0.500 0.500

=====

LiDyH2: relaxed, PBE.

Summary:
* space group: No. 166
* final energy: -3.5907 eV per atom

abc: 3.254 3.254 5.692
angles: 73.39 73.39 60.00
Fractional coordinates of all 4 atoms:
H 0.757 0.757 0.728
H 0.243 0.243 0.272
Li 0.500 0.500 0.500
Dy 0.000 0.000 0.000

=====

TlTePd2: relaxed, PBE.

Summary:
* space group: No. 123
* raw formation energy: -0.48 eV per formula unit
* energy above the most stable polymorph in this dataset: 0.170 eV/atom

abc: 3.558 4.755 4.755
angles: 90.00 90.00 90.00
Fractional coordinates of all 4 atoms:
Tl 0.500 0.500 0.500
Te 0.500 0.000 0.000
Pd 0.000 0.000 0.500
Pd 0.000 0.500 0.000

=====

PmNdDy2Y: relaxed, PBE.

Summary:
* space group: No. 63
* ΔH_f (0 K): 1.89 eV per formula unit

abc: 7.195 8.413 7.173
angles: 125.91 90.00 90.00
Fractional coordinates of all 10 atoms:
Pm 0.250 0.987 0.974
Pm 0.750 0.013 0.026
Nd 0.250 0.722 0.444
Nd 0.750 0.278 0.556
Dy 0.500 0.312 0.000
Dy 0.000 0.688 0.000
Dy 0.500 0.688 0.000
Dy 0.000 0.312 0.000
Y 0.750 0.730 0.460
Y 0.250 0.270 0.540

=====

K3Be2PdO6: relaxed, PBE.

Summary:
* space group: No. 164
* raw formation energy: -17.17 eV per formula unit

abc: 5.482 5.482 6.758
angles: 90.00 90.00 120.00
Fractional coordinates of all 12 atoms:
K 0.333 0.667 0.746
K 0.667 0.333 0.254
K 0.000 0.000 0.000
Be 0.667 0.333 0.663
Be 0.333 0.667 0.337
Pd 0.000 0.000 0.500
O 0.657 0.829 0.318
O 0.171 0.343 0.318
O 0.171 0.829 0.318
O 0.829 0.657 0.682
O 0.343 0.171 0.682
O 0.829 0.171 0.682

=====

RePRh: relaxed, PBE.

Summary:
* space group: No. 42
* ΔH_f (0 K): 0.66 eV per formula unit
* energy above the most stable polymorph in this dataset: 0.408 eV/atom

abc: 6.464 6.172 2.843
angles: 82.80 71.32 25.87
Fractional coordinates of all 3 atoms:
Re 0.651 0.651 0.349
P 0.999 0.999 0.001
Rh 0.350 0.350 0.650

=====

Ce2PmSmTe5: relaxed, PBE.

Summary:
* space group: No. 123
* raw formation energy: -7.08 eV per formula unit

abc: 5.628 5.628 11.815
angles: 90.00 90.00 90.00
Fractional coordinates of all 9 atoms:
Ce 0.500 0.500 0.332
Ce 0.500 0.500 0.668
Pm 0.000 0.000 0.000
Sm 0.000 0.000 0.500
Te 0.000 0.500 0.500
Te 0.500 0.000 0.500
Te 0.000 0.000 0.754
Te 0.000 0.000 0.246
Te 0.500 0.500 0.000

=====

Computed DOS at the Fermi energy (states/eV per cell) in order:
0.00 0.25 2.90 5.25 2.75 6.77 0.56 2.28 17.29 3.65 2.93 19.20